Density functional theory data (PBE-GGA) for SmYPuO6 after structural relaxation.

Computed properties:
Final energy ... -9.1781 eV/atom
DOS(E_F) ... 14.923 states/eV/cell
Magnetic moment ... 4.00 Bohr magnetons per cell
Calculated density ... 6.948 g cm⁻³
ΔE_f (raw) ... -27.34 eV per formula unit

abc: 5.7634 5.7634 9.6247
angles: 90.00 90.00 120.00
Fractional coordinates of all 18 atoms:
Sm: 0.0000 0.0000 0.0000
Sm: 0.0000 0.0000 0.5000
Y: 0.3333 0.6667 0.2500
Y: 0.6667 0.3333 0.7500
Pu: 0.3333 0.6667 0.7500
Pu: 0.6667 0.3333 0.2500
O: 0.0266 0.3616 0.6354
O: 0.0266 0.6650 0.8646
O: 0.3350 0.3616 0.8646
O: 0.3350 0.9734 0.6354
O: 0.3616 0.0266 0.1354
O: 0.3616 0.3350 0.3646
O: 0.6384 0.6650 0.6354
O: 0.6384 0.9734 0.8646
O: 0.6650 0.0266 0.3646
O: 0.6650 0.6384 0.1354
O: 0.9734 0.3350 0.1354
O: 0.9734 0.6384 0.3646

---

Density functional theory data (PBE-GGA) for Ni3OsRh after structural relaxation.

Computed properties:
Final energy ... -5.6421 eV/atom
DOS(E_F) ... 7.639 states/eV/cell
Magnetic moment ... 0.00 Bohr magnetons per cell
Calculated density ... 9.048 g cm⁻³
Formation energy ... 7.71 eV/f.u.
Energy above the most stable polymorph in this dataset ... 7.34 eV/f.u.

abc: 4.4159 4.4159 4.4159
angles: 90.00 90.00 90.00
Fractional coordinates of all 5 atoms:
Ni: 0.0000 0.0000 0.5000
Ni: 0.0000 0.5000 0.0000
Ni: 0.5000 0.0000 0.0000
Os: 0.0000 0.0000 0.0000
Rh: 0.5000 0.5000 0.5000

---

Density functional theory data (PBE-GGA) for YOsN2O after structural relaxation.

Computed properties:
Final energy ... -8.5341 eV/atom
DOS(E_F) ... 2.211 states/eV/cell
Magnetic moment ... 0.00 Bohr magnetons per cell
Calculated density ... 8.861 g cm⁻³
ΔE_f (raw) ... -3.37 eV per formula unit

abc: 3.8534 3.8534 4.0781
angles: 90.00 90.00 90.00
Fractional coordinates of all 5 atoms:
Y: 0.0000 0.0000 0.0000
Os: 0.5000 0.5000 0.5000
N: 0.0000 0.5000 0.5000
N: 0.5000 0.0000 0.5000
O: 0.5000 0.5000 0.0000

---

Density functional theory data (PBE-GGA) for Ac12Pt5Rh3 after structural relaxation.

Computed properties:
Final energy ... -5.8915 eV/atom
DOS(E_F) ... 13.040 states/eV/cell
Magnetic moment ... 0.00 Bohr magnetons per cell
Calculated density ... 10.242 g cm⁻³
Formation energy ... -16.27 eV/f.u.

abc: 13.0962 13.0962 4.3752
angles: 90.00 90.00 120.00
Fractional coordinates of all 20 atoms:
Ac: 0.0000 0.1730 0.0000
Ac: 0.0000 0.4715 0.0000
Ac: 0.1730 0.0000 0.0000
Ac: 0.1937 0.7417 0.5000
Ac: 0.2583 0.4520 0.5000
Ac: 0.4520 0.2583 0.5000
Ac: 0.4715 0.0000 0.0000
Ac: 0.5285 0.5285 0.0000
Ac: 0.5480 0.8063 0.5000
Ac: 0.7417 0.1937 0.5000
Ac: 0.8063 0.5480 0.5000
Ac: 0.8270 0.8270 0.0000
Pt: 0.0000 0.7129 0.0000
Pt: 0.2871 0.2871 0.0000
Pt: 0.3333 0.6667 0.0000
Pt: 0.6667 0.3333 0.0000
Pt: 0.7129 0.0000 0.0000
Rh: 0.0000 0.3254 0.5000
Rh: 0.3254 0.0000 0.5000
Rh: 0.6746 0.6746 0.5000

---

Density functional theory data (PBE-GGA) for SmGaPd2 after structural relaxation.

Computed properties:
Final energy ... -5.4009 eV/atom
DOS(E_F) ... 7.703 states/eV/cell
Magnetic moment ... 0.00 Bohr magnetons per cell
Calculated density ... 9.395 g cm⁻³
Formation energy ... -3.47 eV/f.u.

abc: 7.4788 7.1908 5.6915
angles: 90.00 90.00 90.00
Fractional coordinates of all 16 atoms:
Sm: 0.0318 0.2500 0.1452
Sm: 0.4682 0.7500 0.6452
Sm: 0.5318 0.2500 0.3548
Sm: 0.9682 0.7500 0.8548
Ga: 0.1168 0.7500 0.3552
Ga: 0.3832 0.2500 0.8552
Ga: 0.6168 0.7500 0.1448
Ga: 0.8832 0.2500 0.6448
Pd: 0.1809 0.0523 0.5890
Pd: 0.1809 0.4477 0.5890
Pd: 0.3191 0.5523 0.0890
Pd: 0.3191 0.9477 0.0890
Pd: 0.6809 0.0523 0.9110
Pd: 0.6809 0.4477 0.9110
Pd: 0.8191 0.5523 0.4110
Pd: 0.8191 0.9477 0.4110

---

Density functional theory data (PBE-GGA) for TeOsCl2 after structural relaxation.

Computed properties:
Final energy ... -3.3059 eV/atom
DOS(E_F) ... 7.633 states/eV/cell
Magnetic moment ... 5.12 Bohr magnetons per cell
Calculated density ... 7.836 g cm⁻³
ΔE_f (raw) ... 4.84 eV per formula unit
Energy above the most stable polymorph in this dataset ... 5.02 eV/f.u.

abc: 5.9353 9.0855 3.0554
angles: 90.00 90.00 90.00
Fractional coordinates of all 8 atoms:
Te: 0.0000 0.0000 0.0000
Te: 0.5000 0.5000 0.0000
Os: 0.0000 0.5000 0.0000
Os: 0.5000 0.0000 0.0000
Cl: 0.2500 0.2500 0.5000
Cl: 0.2500 0.7500 0.5000
Cl: 0.7500 0.2500 0.5000
Cl: 0.7500 0.7500 0.5000

---

Density functional theory data (PBE-GGA) for YScF3 after structural relaxation.

Computed properties:
Final energy ... -6.0651 eV/atom
DOS(E_F) ... 6.780 states/eV/cell
Magnetic moment ... 2.54 Bohr magnetons per cell
Calculated density ... 3.884 g cm⁻³
ΔE_f (raw) ... -11.92 eV per formula unit
Energy above the most stable polymorph in this dataset ... 0.16 eV/f.u.

abc: 4.3374 4.3374 4.3374
angles: 90.00 90.00 90.00
Fractional coordinates of all 5 atoms:
Y: 0.0000 0.0000 0.0000
Sc: 0.5000 0.5000 0.5000
F: 0.0000 0.5000 0.5000
F: 0.5000 0.0000 0.5000
F: 0.5000 0.5000 0.0000

---

Density functional theory data (PBE-GGA) for BaRuF5 after structural relaxation.

Computed properties:
Final energy ... -5.4778 eV/atom
DOS(E_F) ... 8.000 states/eV/cell
Magnetic moment ... 1.99 Bohr magnetons per cell
Calculated density ... 4.162 g cm⁻³
ΔE_f (raw) ... -17.79 eV per formula unit

abc: 6.0722 6.0722 8.1724
angles: 107.83 107.83 72.63
Fractional coordinates of all 14 atoms:
Ba: 0.0495 0.9505 0.7500
Ba: 0.9505 0.0495 0.2500
Ru: 0.5000 0.5000 0.0000
Ru: 0.5000 0.5000 0.5000
F: 0.2025 0.7583 0.0278
F: 0.2417 0.7975 0.4722
F: 0.2530 0.3127 0.3959
F: 0.3127 0.2530 0.8959
F: 0.4316 0.5684 0.7500
F: 0.5684 0.4316 0.2500
F: 0.6873 0.7470 0.1041
F: 0.7470 0.6873 0.6041
F: 0.7583 0.2025 0.5278
F: 0.7975 0.2417 0.9722

---

Density functional theory data (PBE-GGA) for Al2Cu2Ru after structural relaxation.

Computed properties:
Final energy ... -5.0988 eV/atom
DOS(E_F) ... 3.522 states/eV/cell
Magnetic moment ... 1.62 Bohr magnetons per cell
Calculated density ... 6.915 g cm⁻³
Formation energy ... -0.54 eV/f.u.
Energy above the most stable polymorph in this dataset ... 0.22 eV/f.u.

abc: 6.8892 6.8892 2.8547
angles: 90.00 90.00 90.00
Fractional coordinates of all 10 atoms:
Al: 0.1538 0.3462 0.0000
Al: 0.3462 0.8462 0.0000
Al: 0.6538 0.1538 0.0000
Al: 0.8462 0.6538 0.0000
Cu: 0.1424 0.6424 0.5000
Cu: 0.3576 0.1424 0.5000
Cu: 0.6424 0.8576 0.5000
Cu: 0.8576 0.3576 0.5000
Ru: 0.0000 0.0000 0.0000
Ru: 0.5000 0.5000 0.0000

---

Density functional theory data (PBE-GGA) for Pm12ErSc2 after structural relaxation.

Computed properties:
Final energy ... -4.7534 eV/atom
DOS(E_F) ... 45.273 states/eV/cell
Magnetic moment ... 0.00 Bohr magnetons per cell
Calculated density ... 6.628 g cm⁻³
Formation energy ... 2.93 eV/f.u.

abc: 6.7248 6.7248 24.7684
angles: 90.00 90.00 116.70
Fractional coordinates of all 30 atoms:
Pm: 0.0011 0.5011 0.1322
Pm: 0.0018 0.9982 0.9265
Pm: 0.0185 0.5185 0.5911
Pm: 0.0255 0.9745 0.4399
Pm: 0.2500 0.2500 0.1987
Pm: 0.2500 0.2500 0.3225
Pm: 0.2500 0.2500 0.6775
Pm: 0.2500 0.2500 0.8013
Pm: 0.4745 0.5255 0.4399
Pm: 0.4815 0.9815 0.5911
Pm: 0.4982 0.5018 0.9265
Pm: 0.4989 0.9989 0.1322
Pm: 0.5011 0.0011 0.8678
Pm: 0.5018 0.4982 0.0735
Pm: 0.5185 0.0185 0.4089
Pm: 0.5255 0.4745 0.5601
Pm: 0.7500 0.7500 0.1987
Pm: 0.7500 0.7500 0.3225
Pm: 0.7500 0.7500 0.6775
Pm: 0.7500 0.7500 0.8013
Pm: 0.9745 0.0255 0.5601
Pm: 0.9815 0.4815 0.4089
Pm: 0.9982 0.0018 0.0735
Pm: 0.9989 0.4989 0.8678
Er: 0.2500 0.7500 0.0010
Er: 0.7500 0.2500 0.9990
Sc: 0.2500 0.7500 0.2677
Sc: 0.2500 0.7500 0.7349
Sc: 0.7500 0.2500 0.2651
Sc: 0.7500 0.2500 0.7323

---

Density functional theory data (PBE-GGA) for Na2InPd5Pt2 after structural relaxation.

Computed properties:
Final energy ... -4.4690 eV/atom
DOS(E_F) ... 20.309 states/eV/cell
Magnetic moment ... 0.00 Bohr magnetons per cell
Calculated density ... 9.930 g cm⁻³
Formation energy ... -1.27 eV/f.u.

abc: 9.3417 9.3417 4.1510
angles: 90.00 90.00 90.00
Fractional coordinates of all 20 atoms:
Na: 0.1722 0.3278 0.0000
Na: 0.3278 0.8278 0.0000
Na: 0.6722 0.1722 0.0000
Na: 0.8278 0.6722 0.0000
In: 0.0000 0.0000 0.0000
In: 0.5000 0.5000 0.0000
Pd: 0.0000 0.5000 0.5000
Pd: 0.0661 0.7998 0.5000
Pd: 0.2002 0.0661 0.5000
Pd: 0.2998 0.5661 0.5000
Pd: 0.4339 0.2998 0.5000
Pd: 0.5000 0.0000 0.5000
Pd: 0.5661 0.7002 0.5000
Pd: 0.7002 0.4339 0.5000
Pd: 0.7998 0.9339 0.5000
Pd: 0.9339 0.2002 0.5000
Pt: 0.1240 0.6240 0.0000
Pt: 0.3760 0.1240 0.0000
Pt: 0.6240 0.8760 0.0000
Pt: 0.8760 0.3760 0.0000